No. 1
DFT (PBE) results for FeNi2Ir2 after structural relaxation.

## Properties
- distance to the lowest polymorph of the same formula (eV per formula unit) = 0.00
- M_tot (μB per formula unit) = 4.6
- VASP energy (eV per atom) = -7.306
- V (Å³/cell) = 134.03
- ΔH_f (0 K) (meV per atom) = 243

a b c (Å): 7.075 7.075 2.678
angles (deg): 90.00 90.00 90.00
Positions (direct):
1 Fe 0.000 0.000 0.000
2 Fe 0.500 0.500 0.000
3 Ni 0.120 0.380 0.000
4 Ni 0.380 0.880 0.000
5 Ni 0.620 0.120 0.000
6 Ni 0.880 0.620 0.000
7 Ir 0.177 0.677 0.500
8 Ir 0.323 0.177 0.500
9 Ir 0.677 0.823 0.500
10 Ir 0.823 0.323 0.500



No. 2
DFT (PBE) results for Ti5NiPt2Rh2 after structural relaxation.

## Properties
- M_tot (μB per formula unit) = 0.0
- VASP energy (eV per atom) = -7.722
- V (Å³/cell) = 324.25
- ΔH_f (0 K) (meV per atom) = -518

a b c (Å): 10.598 10.598 2.887
angles (deg): 90.00 90.00 90.00
Positions (direct):
1 Ti 0.000 0.500 0.000
2 Ti 0.133 0.152 0.000
3 Ti 0.152 0.867 0.000
4 Ti 0.348 0.367 0.000
5 Ti 0.367 0.652 0.000
6 Ti 0.500 0.000 0.000
7 Ti 0.633 0.348 0.000
8 Ti 0.652 0.633 0.000
9 Ti 0.848 0.133 0.000
10 Ti 0.867 0.848 0.000
11 Ni 0.000 0.000 0.500
12 Ni 0.500 0.500 0.500
13 Pt 0.153 0.653 0.500
14 Pt 0.347 0.153 0.500
15 Pt 0.653 0.847 0.500
16 Pt 0.847 0.347 0.500
17 Rh 0.146 0.354 0.500
18 Rh 0.354 0.854 0.500
19 Rh 0.646 0.146 0.500
20 Rh 0.854 0.646 0.500



No. 3
DFT (PBE) results for NaFeIr after structural relaxation.

## Properties
- distance to the lowest polymorph of the same formula (eV per formula unit) = 0.59
- M_tot (μB per formula unit) = 0.0
- VASP energy (eV per atom) = -5.758
- V (Å³/cell) = 112.92
- ΔH_f (0 K) (meV per atom) = 456

a b c (Å): 4.174 3.934 6.907
angles (deg): 90.00 95.44 90.00
Positions (direct):
1 Na 0.233 0.250 0.373
2 Na 0.767 0.750 0.627
3 Fe 0.179 0.750 0.005
4 Fe 0.821 0.250 0.995
5 Ir 0.322 0.250 0.842
6 Ir 0.678 0.750 0.158



No. 4
DFT (PBE) results for Sc4FeMo after structural relaxation.

## Properties
- M_tot (μB per formula unit) = 2.1
- VASP energy (eV per atom) = -6.678
- V (Å³/cell) = 119.99
- ΔH_f (0 K) (meV per atom) = 758

a b c (Å): 5.536 5.536 5.536
angles (deg): 60.00 60.00 60.00
Positions (direct):
1 Sc 0.125 0.125 0.125
2 Sc 0.125 0.125 0.624
3 Sc 0.125 0.624 0.125
4 Sc 0.624 0.125 0.125
5 Fe 0.750 0.750 0.750
6 Mo 0.500 0.500 0.500



No. 5
DFT (PBE) results for RbAc4Ge3O12 after structural relaxation.

## Properties
- M_tot (μB per formula unit) = 0.0
- VASP energy (eV per atom) = -6.796
- V (Å³/cell) = 341.40
- energy relative to the elements, uncorrected (meV/atom) = -2258

a b c (Å): 7.626 7.626 7.626
angles (deg): 109.47 109.47 109.47
Positions (direct):
1 Rb 0.000 0.000 0.000
2 Ac 0.000 0.000 0.500
3 Ac 0.000 0.500 0.000
4 Ac 0.500 0.000 0.000
5 Ac 0.500 0.500 0.500
6 Ge 0.000 0.500 0.500
7 Ge 0.500 0.000 0.500
8 Ge 0.500 0.500 0.000
9 O 0.148 0.346 0.494
10 O 0.148 0.654 0.803
11 O 0.197 0.852 0.346
12 O 0.346 0.197 0.852
13 O 0.346 0.494 0.148
14 O 0.494 0.148 0.346
15 O 0.506 0.852 0.654
16 O 0.654 0.506 0.852
17 O 0.654 0.803 0.148
18 O 0.803 0.148 0.654
19 O 0.852 0.346 0.197
20 O 0.852 0.654 0.506



No. 6
DFT (PBE) results for Zn3CrC after structural relaxation.

## Properties
- distance to the lowest polymorph of the same formula (eV per formula unit) = 0.00
- M_tot (μB per formula unit) = 4.1
- VASP energy (eV per atom) = -3.675
- V (Å³/cell) = 72.69
- ΔH_f (0 K) (meV per atom) = 859

a b c (Å): 4.173 4.173 4.173
angles (deg): 90.00 90.00 90.00
Positions (direct):
1 Zn 0.000 0.000 0.500
2 Zn 0.000 0.500 0.000
3 Zn 0.500 0.000 0.000
4 Cr 0.500 0.500 0.500
5 C 0.000 0.000 0.000



No. 7
DFT (PBE) results for TlCrCu after structural relaxation.

## Properties
- distance to the lowest polymorph of the same formula (eV per formula unit) = 0.05
- M_tot (μB per formula unit) = 3.7
- VASP energy (eV per atom) = -4.833
- V (Å³/cell) = 53.37
- ΔH_f (0 K) (meV per atom) = 529

a b c (Å): 4.497 4.497 3.048
angles (deg): 90.00 90.00 120.00
Positions (direct):
1 Tl 0.000 0.000 0.000
2 Cr 0.667 0.333 0.500
3 Cu 0.333 0.667 0.000



No. 8
DFT (PBE) results for ZnCu3Au12 after structural relaxation.

## Properties
- M_tot (μB per formula unit) = 0.0
- VASP energy (eV per atom) = -3.348
- V (Å³/cell) = 269.94
- ΔH_f (0 K) (meV per atom) = -42

a b c (Å): 4.072 4.072 16.279
angles (deg): 90.00 90.00 90.00
Positions (direct):
1 Zn 0.000 0.000 0.000
2 Cu 0.000 0.000 0.253
3 Cu 0.000 0.000 0.500
4 Cu 0.000 0.000 0.747
5 Au 0.000 0.500 0.127
6 Au 0.000 0.500 0.376
7 Au 0.000 0.500 0.624
8 Au 0.000 0.500 0.873
9 Au 0.500 0.000 0.127
10 Au 0.500 0.000 0.376
11 Au 0.500 0.000 0.624
12 Au 0.500 0.000 0.873
13 Au 0.500 0.500 0.000
14 Au 0.500 0.500 0.252
15 Au 0.500 0.500 0.500
16 Au 0.500 0.500 0.748